[1]
## RuC2 (GGA-PBE)

Data for a relaxed structure of RuC2.

Computed properties:
Magnetic moment in μB per atom: 0.0000
Energy relative to the lowest polymorph listed for this composition in kJ/mol of atoms: 97.39
Final energy in eV for the cell shown: -91.8
Energy of formation from the pure elements in eV/atom: 1.5937

CIF file:
```
data_RuC2
_symmetry_space_group_name_H-M 'I 41/a m d'
_symmetry_Int_Tables_number 141
_cell_length_a 3.588
_cell_length_b 3.588
_cell_length_c 8.069
_cell_angle_alpha 90.00
_cell_angle_beta 90.00
_cell_angle_gamma 90.00
loop_
_symmetry_equiv_pos_as_xyz
'x,y,z'
'-x,-y,-z'
'-y+1/4,x+3/4,z+1/4'
'y+1/4,-x+3/4,-z+1/4'
'-x+1/2,-y,z+1/2'
'x+1/2,y,-z+1/2'
'y+1/4,-x+1/4,z+3/4'
'-y+1/4,x+1/4,-z+3/4'
'x,-y,-z'
'-x,y,z'
'-y+1/4,-x+1/4,-z+3/4'
'y+1/4,x+1/4,z+3/4'
'-x+1/2,y,-z+1/2'
'x+1/2,-y,z+1/2'
'y+1/4,x+3/4,-z+1/4'
'-y+1/4,-x+3/4,z+1/4'
'x+1/2,y+1/2,z+1/2'
'-x+1/2,-y+1/2,-z+1/2'
'-y+3/4,x+1/4,z+3/4'
'y+3/4,-x+1/4,-z+3/4'
'-x,-y+1/2,z'
'x,y+1/2,-z'
'y+3/4,-x+3/4,z+1/4'
'-y+3/4,x+3/4,-z+1/4'
'x+1/2,-y+1/2,-z+1/2'
'-x+1/2,y+1/2,z+1/2'
'-y+3/4,-x+3/4,-z+1/4'
'y+3/4,x+3/4,z+1/4'
'-x,y+1/2,-z'
'x,-y+1/2,z'
'y+3/4,x+1/4,-z+3/4'
'-y+3/4,-x+1/4,z+3/4'
loop_
_atom_site_label
_atom_site_fract_x
_atom_site_fract_y
_atom_site_fract_z
Ru1 0.000 0.250 0.375
C1 0.000 0.250 0.781
```



[2]
## RuC2 (GGA-PBE)

Data for a relaxed structure of RuC2.

Computed properties:
Magnetic moment in μB per atom: 0.0000
Energy relative to the lowest polymorph listed for this composition in kJ/mol of atoms: 1.55
Final energy in eV for the cell shown: -25.9
Energy of formation from the pure elements in eV/atom: 0.6004

CIF file:
```
data_RuC2
_symmetry_space_group_name_H-M 'P -6 m 2'
_symmetry_Int_Tables_number 187
_symmetry_space_group_name_Hall 'P -6 2'
_cell_length_a 2.8596
_cell_length_b 2.8596
_cell_length_c 3.9919
_cell_angle_alpha 90.00
_cell_angle_beta 90.00
_cell_angle_gamma 120.00
loop_
_atom_site_label
_atom_site_fract_x
_atom_site_fract_y
_atom_site_fract_z
Ru1 0.0000 0.0000 0.0000
C1 0.6667 0.3333 0.3225
```



[3]
## Ru2C (GGA-PBE)

Data for a relaxed structure of Ru2C.

Computed properties:
Magnetic moment in μB per atom: 0.0000
Energy relative to the lowest polymorph listed for this composition in kJ/mol of atoms: 7.64
Final energy in eV for the cell shown: -53.2
Energy of formation from the pure elements in eV/atom: 0.3887

CIF file:
```
data_Ru2C
_symmetry_space_group_name_H-M 'P 63/m m c'
_symmetry_Int_Tables_number 194
_symmetry_space_group_name_Hall '-P 6c 2c'
_cell_length_a 2.7825
_cell_length_b 2.7825
_cell_length_c 10.1412
_cell_angle_alpha 90.00
_cell_angle_beta 90.00
_cell_angle_gamma 120.00
loop_
_atom_site_label
_atom_site_fract_x
_atom_site_fract_y
_atom_site_fract_z
Ru1 0.3333 0.6667 0.1131
C1 0.0000 0.0000 0.2500
```



[4]
## RuC5 (GGA-PBE)

Data for a relaxed structure of RuC5.

Computed properties:
Magnetic moment in μB per atom: 0.0000
Energy relative to the lowest polymorph listed for this composition in kJ/mol of atoms: 122.36
Final energy in eV for the cell shown: -42.6
Energy of formation from the pure elements in eV/atom: 2.1265

CIF file:
```
data_RuC5
_symmetry_space_group_name_H-M 'P 4/m m m'
_symmetry_Int_Tables_number 123
_symmetry_space_group_name_Hall '-P 4 2'
_cell_length_a 2.461
_cell_length_b 2.461
_cell_length_c 8.125
_cell_angle_alpha 90.00
_cell_angle_beta 90.00
_cell_angle_gamma 90.00
loop_
_atom_site_label
_atom_site_fract_x
_atom_site_fract_y
_atom_site_fract_z
Ru1 0.000 0.000 0.000
C1 0.000 0.000 0.261
C2 0.500 0.500 0.332
C3 0.500 0.500 0.500
```



[5]
## RuC8 (GGA-PBE)

Data for a relaxed structure of RuC8.

Computed properties:
Magnetic moment in μB per atom: 0.1048
Final energy in eV for the cell shown: -121.1
Energy of formation from the pure elements in eV/atom: 2.5025

CIF file:
```
data_RuC8
_symmetry_space_group_name_H-M 'I 4/m m m'
_symmetry_Int_Tables_number 139
_symmetry_space_group_name_Hall '-I 4 2'
_cell_length_a 5.312
_cell_length_b 5.312
_cell_length_c 7.803
_cell_angle_alpha 90.00
_cell_angle_beta 90.00
_cell_angle_gamma 90.00
loop_
_atom_site_label
_atom_site_fract_x
_atom_site_fract_y
_atom_site_fract_z
Ru1 0.000 0.000 0.000
C1 0.000 0.371 0.000
C2 0.143 0.143 0.500
```



[6]
## RuC2 (GGA-PBE)

Data for a relaxed structure of RuC2.

Computed properties:
Magnetic moment in μB per atom: 0.0000
Energy relative to the lowest polymorph listed for this composition in kJ/mol of atoms: 21.36
Final energy in eV for the cell shown: -101.2
Energy of formation from the pure elements in eV/atom: 0.8057

CIF file:
```
data_RuC2
_symmetry_space_group_name_H-M 'C 1 2/m 1'
_symmetry_Int_Tables_number 12
_symmetry_space_group_name_Hall '-C 2y'
_cell_length_a 10.958
_cell_length_b 2.655
_cell_length_c 4.003
_cell_angle_alpha 90.00
_cell_angle_beta 99.76
_cell_angle_gamma 90.00
loop_
_atom_site_label
_atom_site_fract_x
_atom_site_fract_y
_atom_site_fract_z
Ru1 0.130 0.000 0.453
C1 0.033 0.500 0.161
C2 0.237 0.000 0.075
```



[7]
## RuC2 (GGA-PBE)

Data for a relaxed structure of RuC2.

Computed properties:
Magnetic moment in μB per atom: 0.1309
Energy relative to the lowest polymorph listed for this composition in kJ/mol of atoms: 132.01
Final energy in eV for the cell shown: -21.9
Energy of formation from the pure elements in eV/atom: 1.9525

CIF file:
```
data_RuC2
_symmetry_space_group_name_H-M 'P 4/m m m'
_symmetry_Int_Tables_number 123
_symmetry_space_group_name_Hall '-P 4 2'
_cell_length_a 2.970
_cell_length_b 2.970
_cell_length_c 3.952
_cell_angle_alpha 90.00
_cell_angle_beta 90.00
_cell_angle_gamma 90.00
loop_
_atom_site_label
_atom_site_fract_x
_atom_site_fract_y
_atom_site_fract_z
Ru1 0.000 0.000 0.000
C1 0.000 0.000 0.500
C2 0.500 0.500 0.000
```



[8]
## RuC2 (GGA-PBE)

Data for a relaxed structure of RuC2.

Computed properties:
Magnetic moment in μB per atom: 0.0000
Energy relative to the lowest polymorph listed for this composition in kJ/mol of atoms: 48.08
Final energy in eV for the cell shown: -97.9
Energy of formation from the pure elements in eV/atom: 1.0826

CIF file:
```
data_RuC2
_symmetry_space_group_name_H-M 'I 4/m c m'
_symmetry_Int_Tables_number 140
_symmetry_space_group_name_Hall '-I 4 2c'
_cell_length_a 4.465
_cell_length_b 4.465
_cell_length_c 5.225
_cell_angle_alpha 90.00
_cell_angle_beta 90.00
_cell_angle_gamma 90.00
loop_
_atom_site_label
_atom_site_fract_x
_atom_site_fract_y
_atom_site_fract_z
Ru1 0.000 0.000 0.250
C1 0.114 0.386 0.000
```



| no. | ρ (g/cm³) |
| --- | --- |
| 1 | 8.00 |
| 2 | 7.35 |
| 3 | 10.46 |
| 4 | 5.44 |
| 5 | 2.97 |
| 6 | 7.24 |
| 7 | 5.96 |
| 8 | 7.98 |